## P3RuN (PBE)

Data for a relaxed P3RuN crystal.

The space group is P1 (No. 1) and the conventional cell measures 3.7688, 4.4075 and 4.7339 Å, with angles of 103.87, 92.26 and 90.75 degrees. The asymmetric unit holds P at (0.0000, 0.0000, 0.0000), P at (0.0186, 0.2536, 0.6384), P at (0.6048, 0.6335, 0.4308), Ru at (0.5248, 0.0989, 0.3236) and N at (0.8987, 0.6546, 0.7227).

The density of states at the Fermi level comes out at 0.2 states/eV/cell. For the energy above the most stable polymorph in this dataset, the calculation gives 0.1222 eV/atom. For the theoretical density, the calculation gives 4.5 Mg/m³. Its formation energy (no corrections) is -0.16 eV/atom.